No. 1
A relaxed structure of LaInN3. Source: Alexandria, functional PBE-GGA.

Results
Space group: No. 221
ΔE_f (raw) in eV/atom: 1.278

Cell lengths 4.3677, 4.3677, 4.3677 Å; angles 90.00, 90.00, 90.00 degrees
Fractional positions:
1 La 0.0000 0.0000 0.0000
2 In 0.5000 0.5000 0.5000
3 N 0.0000 0.0000 0.5000
4 N 0.0000 0.5000 0.0000
5 N 0.5000 0.0000 0.0000


No. 2
A relaxed structure of YMnSi2. Source: Alexandria, functional PBE-GGA.

Results
Space group: No. 122
ΔE_f (raw) in eV/atom: -0.142

Cell lengths 8.1099, 8.1099, 8.1099 Å; angles 146.14, 146.14, 48.64 degrees
Fractional positions:
1 Y 0.0000 0.0000 0.0000
2 Y 0.7500 0.2500 0.5000
3 Mn 0.2500 0.7500 0.5000
4 Mn 0.5000 0.5000 0.0000
5 Si 0.3702 0.6250 0.2452
6 Si 0.3750 0.6202 0.7452
7 Si 0.3798 0.1250 0.7548
8 Si 0.8750 0.6298 0.2548


No. 3
A relaxed structure of TeOsCI2. Source: Alexandria, functional PBE-GGA.

Results
Space group: No. 123
ΔE_f (raw) in eV/atom: 2.067

Cell lengths 4.7594, 4.7594, 4.6855 Å; angles 90.00, 90.00, 90.00 degrees
Fractional positions:
1 Te 0.0000 0.0000 0.0000
2 Os 0.5000 0.5000 0.0000
3 C 0.0000 0.0000 0.5000
4 I 0.0000 0.5000 0.5000
5 I 0.5000 0.0000 0.5000


No. 4
A relaxed structure of RbTl2SbS4. Source: Alexandria, functional PBE-GGA.

Results
Space group: No. 74
ΔE_f (raw) in eV/atom: -0.386

Cell lengths 8.4794, 8.4794, 8.4794 Å; angles 120.60, 119.81, 89.65 degrees
Fractional positions:
1 Rb 0.5000 0.0000 0.0000
2 Rb 0.5000 0.5000 0.5000
3 Tl 0.0000 0.0000 0.0000
4 Tl 0.0000 0.0000 0.5000
5 Tl 0.0000 0.5000 0.0000
6 Tl 0.5000 0.0000 0.5000
7 Sb 0.0000 0.5000 0.5000
8 Sb 0.5000 0.5000 0.0000
9 S 0.1995 0.7352 0.4644
10 S 0.2292 0.2648 0.9644
11 S 0.2341 0.2610 0.5269
12 S 0.2341 0.7072 0.9731
13 S 0.7659 0.2928 0.0269
14 S 0.7659 0.7390 0.4731
15 S 0.7708 0.7352 0.0356
16 S 0.8005 0.2648 0.5356


No. 5
A relaxed structure of Co2CuPb. Source: Alexandria, functional PBE-GGA.

Results
Space group: No. 12
Energy of formation in eV/atom: 0.61

Cell lengths 5.1082, 5.1082, 2.9843 Å; angles 104.18, 104.18, 117.60 degrees
Fractional positions:
1 Co 0.0000 0.5000 0.0000
2 Co 0.5000 0.0000 0.0000
3 Cu 0.0000 0.0000 0.5000
4 Pb 0.5000 0.5000 0.5000


No. 6
A relaxed structure of Na2NbNO. Source: Alexandria, functional PBE-GGA.

Results
Space group: No. 123
ΔE_f (raw) in eV/atom: 0.735

Cell lengths 6.0384, 6.0384, 3.9099 Å; angles 90.00, 90.00, 90.00 degrees
Fractional positions:
1 Na 0.0000 0.5000 0.0000
2 Na 0.5000 0.0000 0.0000
3 Nb 0.0000 0.0000 0.0000
4 N 0.0000 0.0000 0.5000
5 O 0.5000 0.5000 0.5000


No. 7
A relaxed structure of LaTm5Sn6. Source: Alexandria, functional PBE-GGA.

Results
Space group: No. 12
Energy of formation in eV/atom: -0.59

Cell lengths 8.2417, 8.2417, 7.3817 Å; angles 95.39, 95.39, 136.28 degrees
Fractional positions:
1 La 0.0000 0.0000 0.0000
2 Tm 0.0000 0.0000 0.5000
3 Tm 0.3245 0.6755 0.0000
4 Tm 0.3484 0.6516 0.5000
5 Tm 0.6516 0.3484 0.5000
6 Tm 0.6755 0.3245 0.0000
7 Sn 0.1622 0.8164 0.2736
8 Sn 0.1836 0.8378 0.7264
9 Sn 0.4786 0.4786 0.7711
10 Sn 0.5214 0.5214 0.2289
11 Sn 0.8164 0.1622 0.2736
12 Sn 0.8378 0.1836 0.7264


No. 8
A relaxed structure of K7Rb3Cd. Source: Alexandria, functional PBE-GGA.

Results
Space group: No. 8
Energy of formation in eV/atom: 0.03

Cell lengths 8.6638, 8.6638, 11.9999 Å; angles 96.05, 96.05, 115.58 degrees
Fractional positions:
1 K 0.0000 0.0000 0.0000
2 K 0.2144 0.6902 0.6809
3 K 0.5138 0.9875 0.9964
4 K 0.5232 0.5232 0.1318
5 K 0.6718 0.6718 0.5282
6 K 0.6902 0.2144 0.6809
7 K 0.9875 0.5138 0.9964
8 Rb 0.2027 0.2027 0.7093
9 Rb 0.2767 0.9343 0.3402
10 Rb 0.9343 0.2767 0.3402
11 Cd 0.6194 0.6194 0.8336


No. 9
A relaxed structure of NdMnAlGe2. Source: Alexandria, functional PBE-GGA.

Results
Space group: No. 51
Energy of formation in eV/atom: -0.40

Cell lengths 5.5431, 5.8540, 5.7548 Å; angles 90.00, 90.00, 90.00 degrees
Fractional positions:
1 Nd 0.2500 0.0000 0.2307
2 Nd 0.7500 0.0000 0.7693
3 Mn 0.0000 0.5000 0.0000
4 Mn 0.5000 0.5000 0.0000
5 Al 0.2500 0.5000 0.3626
6 Al 0.7500 0.5000 0.6374
7 Ge 0.2500 0.2505 0.7409
8 Ge 0.2500 0.7495 0.7409
9 Ge 0.7500 0.2505 0.2591
10 Ge 0.7500 0.7495 0.2591


No. 10
A relaxed structure of LiMn2As. Source: Alexandria, functional PBE-GGA.

Results
Space group: No. 10
Energy of formation in eV/atom: 0.12

Cell lengths 2.7487, 4.3190, 4.8478 Å; angles 90.00, 96.85, 90.00 degrees
Fractional positions:
1 Li 0.0000 0.0000 0.0000
2 Mn 0.3028 0.5000 0.7346
3 Mn 0.6972 0.5000 0.2654
4 As 0.5000 0.0000 0.5000


No. 11
A relaxed structure of FeAsIr2. Source: Alexandria, functional PBE-GGA.

Results
Space group: No. 119
Energy of formation in eV/atom: 0.23

Cell lengths 4.7820, 4.7820, 4.7820 Å; angles 133.01, 133.01, 68.64 degrees
Fractional positions:
1 Fe 0.0000 0.0000 0.0000
2 As 0.7500 0.2500 0.5000
3 Ir 0.2500 0.7500 0.5000
4 Ir 0.5000 0.5000 0.0000


No. 12
A relaxed structure of Pr6Nd2Ho3Tm. Source: Alexandria, functional PBE-GGA.

Results
Space group: No. 12
Energy of formation in eV/atom: 0.01

Cell lengths 6.3285, 6.3285, 11.9727 Å; angles 95.04, 95.04, 120.01 degrees
Fractional positions:
1 Pr 0.0843 0.4162 0.7527
2 Pr 0.2479 0.2479 0.2469
3 Pr 0.4162 0.0843 0.7527
4 Pr 0.5838 0.9157 0.2473
5 Pr 0.7521 0.7521 0.7531
6 Pr 0.9157 0.5838 0.2473
7 Nd 0.3332 0.6668 0.5000
8 Nd 0.6668 0.3332 0.5000
9 Ho 0.1664 0.8336 0.0000
10 Ho 0.5000 0.5000 0.0000
11 Ho 0.8336 0.1664 0.0000
12 Tm 0.0000 0.0000 0.5000


| no. | total moment (μB/f.u.) |
| --- | --- |
| 1 | 0.00 |
| 2 | 0.00 |
| 3 | 1.01 |
| 4 | 0.00 |
| 5 | 2.78 |
| 6 | 3.53 |
| 7 | 0.00 |
| 8 | 0.00 |
| 9 | 1.45 |
| 10 | 6.12 |
| 11 | 3.05 |
| 12 | 0.00 |